(1)
# TmI2Cl, relaxed, DFT PBE
data_TmI2Cl
_cell_length_a 3.8229
_cell_length_b 12.5204
_cell_length_c 7.6566
_cell_angle_alpha 90.00
_cell_angle_beta 90.00
_cell_angle_gamma 90.00
_space_group_name_H-M_alt 'I m m 2'
_space_group_IT_number 44
_space_group_name_Hall 'I 2 -2'
loop_
_atom_site_label
_atom_site_fract_x
_atom_site_fract_y
_atom_site_fract_z
Tm1 0.0000 0.0000 0.0000
I1 0.0000 0.3406 0.6585
Cl1 0.0000 0.5000 0.2593
# Total magnetic moment ... 0.0000 μB per atom
# Energy above the lowest structure with this stoichiometry ... 55 meV per atom
# E_tot ... -3.95 eV/atom
# Volume ... 183 Å³/f.u.

***

(2)
# TmI3Cl, relaxed, DFT PBE
data_TmI3Cl
_cell_length_a 12.9329
_cell_length_b 7.0774
_cell_length_c 8.4804
_cell_angle_alpha 90.00
_cell_angle_beta 90.00
_cell_angle_gamma 90.00
_space_group_name_H-M_alt 'I m a 2'
_space_group_IT_number 46
_space_group_name_Hall 'I 2 -2a'
loop_
_atom_site_label
_atom_site_fract_x
_atom_site_fract_y
_atom_site_fract_z
Tm1 0.2500 0.2495 0.0000
I1 0.0144 0.2496 0.9999
I2 0.2500 0.5481 0.2495
Cl1 0.2500 0.0323 0.2503
# Total magnetic moment ... 0.0000 μB per atom
# E_tot ... -3.40 eV/atom
# Volume ... 194 Å³/f.u.

***

(3)
# TmI2Cl, relaxed, DFT PBE
data_TmI2Cl
_cell_length_a 4.2811
_cell_length_b 5.2070
_cell_length_c 8.6340
_cell_angle_alpha 90.90
_cell_angle_beta 104.14
_cell_angle_gamma 90.00
_space_group_name_H-M_alt 'P -1'
_space_group_IT_number 2
_space_group_name_Hall '-P 1'
loop_
_atom_site_label
_atom_site_fract_x
_atom_site_fract_y
_atom_site_fract_z
Tm1 0.0000 0.0000 0.0000
I1 0.3750 0.9934 0.7469
Cl1 0.0000 0.5000 0.0000
# Total magnetic moment ... 0.0000 μB per atom
# Energy above the lowest structure with this stoichiometry ... 0 meV per atom
# E_tot ... -4.01 eV/atom
# Volume ... 187 Å³/f.u.

***

(4)
# TmICl, relaxed, DFT PBE
data_TmICl
_cell_length_a 6.7933
_cell_length_b 6.7933
_cell_length_c 7.6136
_cell_angle_alpha 90.00
_cell_angle_beta 90.00
_cell_angle_gamma 120.00
_space_group_name_H-M_alt 'P 32'
_space_group_IT_number 145
_space_group_name_Hall 'P 32'
loop_
_atom_site_label
_atom_site_fract_x
_atom_site_fract_y
_atom_site_fract_z
Tm1 0.9998 0.1974 0.0000
I1 0.9996 0.6673 0.0002
Cl1 0.0008 0.6141 0.5003
# Total magnetic moment ... 0.3112 μB per atom
# Energy above the lowest structure with this stoichiometry ... 215 meV per atom
# E_tot ... -3.93 eV/atom
# Volume ... 101 Å³/f.u.

***

Q: Which DOS(E_F) values were calculated for the entries above? A: 0.000; 0.404; 0.000; 0.248, in states/eV per atom.